## SrNi3Sb2 (PBE)

Data for a relaxed structure of SrNi3Sb2.

Lattice parameters (Å, degrees): 8.481 8.481 7.601 114.47 114.47 29.11
Atoms (fractional coordinates):
Sr: 0.150 0.150 0.077
Sr: 0.850 0.850 0.923
Ni: 0.022 0.022 0.373
Ni: 0.305 0.305 0.538
Ni: 0.415 0.415 0.376
Ni: 0.585 0.585 0.624
Ni: 0.695 0.695 0.462
Ni: 0.978 0.978 0.627
Sb: 0.181 0.181 0.655
Sb: 0.472 0.472 0.779
Sb: 0.528 0.528 0.221
Sb: 0.819 0.819 0.345

Output
**ΔE to the lowest computed polymorph**: 0.008 eV per atom
**E_form (uncorrected)**: -0.40 eV per atom

## TlHg2Au (PBE)

Data for a relaxed structure of TlHg2Au.

Lattice parameters (Å, degrees): 6.499 6.499 6.499 42.03 42.03 42.03
Atoms (fractional coordinates):
Tl: 0.000 0.000 0.000
Hg: 0.224 0.224 0.224
Hg: 0.431 0.431 0.431
Au: 0.822 0.822 0.822

Output
**Formation energy from the elements**: 34 meV/atom
**ΔE to the lowest computed polymorph**: 0.057 eV per atom